A relaxed structure of NaCaV2O6, computed with PBE+U.

a = 7.3152 Å, b = 7.3152 Å, c = 6.0434 Å
α = 104.95°, β = 104.95°, γ = 83.80°
Sites, in units of the cell vectors:
Na: 0.2116 0.7884 0.7500
Na: 0.7884 0.2116 0.2500
Ca: 0.4038 0.5962 0.2500
Ca: 0.5962 0.4038 0.7500
V: 0.1201 0.2986 0.7282
V: 0.2986 0.1201 0.2282
V: 0.7014 0.8799 0.7718
V: 0.8799 0.7014 0.2718
O: 0.1125 0.6211 0.3316
O: 0.1515 0.1564 0.4418
O: 0.1564 0.1515 0.9418
O: 0.2863 0.4741 0.8410
O: 0.3789 0.8875 0.1684
O: 0.4741 0.2863 0.3410
O: 0.5259 0.7137 0.6590
O: 0.6211 0.1125 0.8316
O: 0.7137 0.5259 0.1590
O: 0.8436 0.8485 0.0582
O: 0.8485 0.8436 0.5582
O: 0.8875 0.3789 0.6684

Summary:
* E: -6.99 eV/atom
* volume: 15.1 A^3/atom
* symmetry: C2/c
* magnetization: 1.0 μB/f.u.